This record from Alexandria describes a relaxed PtRhSe crystal. The functional is GGA-PBE.

Cell: 7.557 7.287 2.828 Å, 84.44 73.69 21.87°
Atoms (fractional coordinates):
Pt 0.000 0.000 0.000
Rh 0.335 0.335 0.665
Se 0.690 0.690 0.310

Values from the calculation:
- size of the total moment (μB/cell) = 0.00
- N(E_F) (states/eV/cell) = 2.86
- space group = Fmm2
- DFT total energy (eV/atom) = -5.367
- formation energy without anion corrections (eV per atom) = 0.258
- offset from the most stable computed form (meV/atom) = 257